Model A:
Material: ZnCrBr4
Method: DFT, GGA-PBE
State: relaxed

## Properties
density of states at the Fermi level: 4.14 states/eV per cell

The structure in CIF format:
```
data_ZnCrBr4
_symmetry_space_group_name_H-M 'P 1 2/m 1'
_symmetry_Int_Tables_number 10
_cell_length_a 6.535
_cell_length_b 3.875
_cell_length_c 6.928
_cell_angle_alpha 90.00
_cell_angle_beta 93.78
_cell_angle_gamma 90.00
loop_
_symmetry_equiv_pos_as_xyz
'x,y,z'
'-x,-y,-z'
'-x,y,-z'
'x,-y,z'
loop_
_atom_site_label
_atom_site_fract_x
_atom_site_fract_y
_atom_site_fract_z
_atom_site_occupancy
Zn1 0.000 0.000 0.000 1
Cr1 0.500 0.500 0.000 1
Br1 0.160 0.500 0.787 1
Br2 0.338 0.000 0.215 1
```

Model B:
Material: ZnCrBr4
Method: DFT, GGA-PBE
State: relaxed

## Properties
density of states at the Fermi level: 29.46 states/eV per cell

The structure in CIF format:
```
data_ZnCrBr4
_symmetry_space_group_name_H-M 'F -4 3 m'
_symmetry_Int_Tables_number 216
_symmetry_space_group_name_Hall 'F -4 2 3'
_cell_length_a 8.914
_cell_length_b 8.914
_cell_length_c 8.914
_cell_angle_alpha 90.00
_cell_angle_beta 90.00
_cell_angle_gamma 90.00
loop_
_atom_site_label
_atom_site_fract_x
_atom_site_fract_y
_atom_site_fract_z
_atom_site_occupancy
Zn1 0.000 0.000 0.000 1
Cr1 0.250 0.250 0.250 1
Br1 0.125 0.125 0.625 1
```

model A is favored, and the nearest alternative lies 1.429 eV/atom above it.